[1]
Crystalline Dy2HgTe at its relaxed geometry, computed with PBE.

Output
- Formation energy (no corrections): -0.741 eV/atom
- Uncorrected energy: -3.903 eV/atom
- Magnetization: 0.00 μB per formula unit

Geometry as POSCAR:
```
Dy2HgTe
1.0
3.873 0.000 0.000
0.000 3.873 0.000
0.000 0.000 7.040
Te Dy Hg
1 2 1
Direct
0.500 0.500 0.500
0.000 0.000 0.249
0.000 0.000 0.751
0.500 0.500 0.000
```

***

[2]
Crystalline CdCu2Pb at its relaxed geometry, computed with PBE.

Output
- Uncorrected energy: -2.965 eV/atom
- Energy of formation from the pure elements: 239 meV per atom
- Magnetization: 0.00 μB per formula unit

Geometry as POSCAR:
```
CdCu2Pb
1.0
4.770 0.000 0.000
0.000 4.771 0.000
0.000 0.000 3.307
Cd Pb Cu
1 1 2
Direct
0.000 0.500 0.500
0.500 0.000 0.500
0.500 0.500 0.000
0.000 0.000 0.000
```

***

[3]
Crystalline CaSm2AgHg4 at its relaxed geometry, computed with PBE.

Output
- Uncorrected energy: -2.358 eV/atom
- Energy of formation from the pure elements: -420 meV per atom
- Magnetization: 0.00 μB per formula unit

Geometry as POSCAR:
```
CaSm2AgHg4
1.0
5.203 0.000 0.000
2.602 4.506 0.000
2.602 1.502 8.565
Ca Sm Ag Hg
1 2 1 4
Direct
0.000 0.000 0.000
0.245 0.245 0.266
0.755 0.755 0.734
0.500 0.500 0.500
0.626 0.626 0.122
0.374 0.374 0.878
0.124 0.124 0.628
0.876 0.876 0.372
```